# 1
Material: VTe2IF
Method: DFT, PBE with a Hubbard U
State: relaxed

The structure in CIF format:
```
data_VTe2IF
_chemical_formula_sum 'V1 Te2 I1 F1'
_space_group_name_H-M_alt 'P 4/m m m'
_space_group_IT_number 123
_space_group_name_Hall '-P 4 2'
_cell_length_a 5.815
_cell_length_b 5.815
_cell_length_c 4.531
_cell_angle_alpha 90.00
_cell_angle_beta 90.00
_cell_angle_gamma 90.00
loop_
_atom_site_label
_atom_site_type_symbol
_atom_site_fract_x
_atom_site_fract_y
_atom_site_fract_z
V1 V 0.000 0.000 0.000
Te1 Te 0.000 0.500 0.500
I1 I 0.500 0.500 0.500
F1 F 0.500 0.500 0.000
```

Summary:
Density of states at the Fermi level: 6.112 states/eV/f.u.
Offset from the most stable computed form: 45.3 kJ per mole of atoms

---

# 2
Material: VTe2IF
Method: DFT, PBE with a Hubbard U
State: relaxed

The structure in CIF format:
```
data_VTe2IF
_chemical_formula_sum 'V1 Te2 I1 F1'
_space_group_name_H-M_alt 'P 4/m m m'
_space_group_IT_number 123
_space_group_name_Hall '-P 4 2'
_cell_length_a 5.117
_cell_length_b 5.117
_cell_length_c 5.380
_cell_angle_alpha 90.00
_cell_angle_beta 90.00
_cell_angle_gamma 90.00
loop_
_atom_site_label
_atom_site_type_symbol
_atom_site_fract_x
_atom_site_fract_y
_atom_site_fract_z
V1 V 0.000 0.000 0.000
Te1 Te 0.000 0.500 0.000
I1 I 0.000 0.000 0.500
F1 F 0.500 0.500 0.500
```

Summary:
Density of states at the Fermi level: 6.826 states/eV/f.u.
Offset from the most stable computed form: 12.6 kJ per mole of atoms

---

# 3
Material: VTe2IF
Method: DFT, PBE with a Hubbard U
State: relaxed

The structure in CIF format:
```
data_VTe2IF
_chemical_formula_sum 'V1 Te2 I1 F1'
_space_group_name_H-M_alt 'P 4/m m m'
_space_group_IT_number 123
_space_group_name_Hall '-P 4 2'
_cell_length_a 4.666
_cell_length_b 4.666
_cell_length_c 6.521
_cell_angle_alpha 90.00
_cell_angle_beta 90.00
_cell_angle_gamma 90.00
loop_
_atom_site_label
_atom_site_type_symbol
_atom_site_fract_x
_atom_site_fract_y
_atom_site_fract_z
V1 V 0.000 0.000 0.000
Te1 Te 0.000 0.500 0.500
I1 I 0.500 0.500 0.000
F1 F 0.500 0.500 0.500
```

Summary:
Density of states at the Fermi level: 2.483 states/eV/f.u.
Offset from the most stable computed form: 0.0 kJ per mole of atoms

---

Question: Which value of offset from the most stable computed form does entry 3 give?
Answer: 0.0 kJ per mole of atoms